# ScInRe (PBE, optimized geometry)
# * energy of formation: 126.7 meV/atom
# * calculated total energy: -7.0460 eV/atom
# * space-group type: P3m1 (156)
# * calculated density: 10.28 g/cm³
data_ScInRe
_chemical_formula_sum 'Sc1 In1 Re1'
_symmetry_space_group_name_H-M 'P 1'
_symmetry_Int_Tables_number 1
_symmetry_space_group_name_Hall 'P 1'
_cell_length_a 4.748
_cell_length_b 4.748
_cell_length_c 2.862
_cell_angle_alpha 90.00
_cell_angle_beta 90.00
_cell_angle_gamma 120.00
loop_
_atom_site_label
_atom_site_type_symbol
_atom_site_fract_x
_atom_site_fract_y
_atom_site_fract_z
Sc1 Sc 0.000 0.000 0.000
In1 In 0.333 0.667 0.407
Re1 Re 0.667 0.333 0.696